1.
# Tc2SbH

Crystalline Tc2SbH at its relaxed geometry (PBE, Alexandria via LeMat-Bulk).

Calculated values
distance to the lowest polymorph of the same formula = 164.1 kJ/mol of formula units
space group = Fm-3m (225)

Cell: 4.351 4.351 4.351 Å, 60.00 60.00 60.00°
Site moments in Bohr magnetons follow the coordinates.
Fractional coordinates of all 4 atoms:
Tc1 0.750 0.750 0.750  1.00
Tc2 0.250 0.250 0.250  1.00
H1 0.000 0.000 0.000  -0.02
Sb1 0.500 0.500 0.500  -0.03

---

2.
# Tc2SbH

Crystalline Tc2SbH at its relaxed geometry (PBE, Alexandria via LeMat-Bulk).

Calculated values
distance to the lowest polymorph of the same formula = 0.0 kJ/mol of formula units
space group = I-42d (122)

Cell: 4.872 4.872 6.155 Å, 66.69 66.69 90.00°
Fractional coordinates of all 8 atoms:
H1 0.500 0.500 0.000
H2 0.250 0.750 0.500
Sb1 0.750 0.250 0.500
Sb2 0.000 0.000 0.000
Tc1 0.450 0.125 0.250
Tc2 0.375 0.550 0.750
Tc3 0.875 0.700 0.750
Tc4 0.300 0.625 0.250

---

3.
# TcSb3H

Crystalline TcSb3H at its relaxed geometry (PBE, Alexandria via LeMat-Bulk).

Calculated values
distance to the lowest polymorph of the same formula = 8.2 kJ/mol of formula units
space group = Pm-3m (221)

Cell: 5.136 5.136 5.136 Å, 90.00 90.00 90.00°
Fractional coordinates of all 5 atoms:
Tc1 0.000 0.000 0.000
Sb1 0.000 0.000 0.500
Sb2 0.500 0.000 0.000
Sb3 0.000 0.500 0.000
H1 0.500 0.500 0.500

---

4.
# Tc3SbH

Crystalline Tc3SbH at its relaxed geometry (PBE, Alexandria via LeMat-Bulk).

Calculated values
distance to the lowest polymorph of the same formula = 0.0 kJ/mol of formula units
space group = Pm-3m (221)

Cell: 4.049 4.049 4.049 Å, 90.00 90.00 90.00°
Site moments in Bohr magnetons follow the coordinates.
Fractional coordinates of all 5 atoms:
H1 0.000 0.000 0.000  0.00
Tc1 0.500 0.000 0.000  0.45
Tc2 0.000 0.500 0.000  0.67
Tc3 0.000 0.000 0.500  0.81
Sb1 0.500 0.500 0.500  0.00

---

5.
# Tc3SbH

Crystalline Tc3SbH at its relaxed geometry (PBE, Alexandria via LeMat-Bulk).

Calculated values
distance to the lowest polymorph of the same formula = 1087.5 kJ/mol of formula units
space group = Pm-3m (221)

Cell: 5.002 5.002 5.002 Å, 90.00 90.00 90.00°
Site moments in Bohr magnetons follow the coordinates.
Fractional coordinates of all 5 atoms:
Tc1 0.500 0.000 0.000  1.93
Tc2 0.000 0.500 0.000  2.10
Tc3 0.000 0.000 0.500  2.34
Sb1 0.000 0.000 0.000  -0.09
H1 0.500 0.500 0.500  -0.08

---

6.
# TcSb2H5

Crystalline TcSb2H5 at its relaxed geometry (PBE, Alexandria via LeMat-Bulk).

Calculated values
space group = P1 (1)

Cell: 4.973 7.018 4.949 Å, 135.98 123.02 70.09°
Fractional coordinates of all 8 atoms:
H1 0.930 0.585 0.637
H2 0.181 0.197 0.382
H3 0.289 0.871 0.183
H4 0.772 0.168 0.970
H5 0.685 0.786 0.490
Sb1 0.791 0.396 0.722
Sb2 0.221 0.840 0.608
Tc1 0.907 0.933 0.008

---

7.
# TcSbH4

Crystalline TcSbH4 at its relaxed geometry (PBE, Alexandria via LeMat-Bulk).

Calculated values
space group = Ama2 (40)

Cell: 4.588 4.588 5.924 Å, 90.00 90.00 113.37°
Fractional coordinates of all 12 atoms:
Sb1 0.171 0.829 0.500
Sb2 0.171 0.829 0.000
H1 0.645 0.727 0.750
H2 0.273 0.355 0.250
H3 0.988 0.259 0.895
H4 0.741 0.012 0.105
H5 0.988 0.259 0.605
H6 0.627 0.282 0.750
H7 0.718 0.373 0.250
H8 0.741 0.012 0.395
Tc1 0.321 0.385 0.750
Tc2 0.615 0.679 0.250

---

8.
# TcSb3H

Crystalline TcSb3H at its relaxed geometry (PBE, Alexandria via LeMat-Bulk).

Calculated values
distance to the lowest polymorph of the same formula = 0.0 kJ/mol of formula units
space group = Pm-3m (221)

Cell: 4.567 4.567 4.567 Å, 90.00 90.00 90.00°
Site moments in Bohr magnetons follow the coordinates.
Fractional coordinates of all 5 atoms:
H1 0.000 0.000 0.000  0.00
Sb1 0.000 0.500 0.000  -0.03
Sb2 0.000 0.000 0.500  -0.01
Sb3 0.500 0.000 0.000  -0.02
Tc1 0.500 0.500 0.500  1.21

---

9.
# TiTc2SbH

Crystalline TiTc2SbH at its relaxed geometry (PBE, Alexandria via LeMat-Bulk).

Calculated values
space group = P4/mmm (123)

Cell: 4.305 4.305 3.573 Å, 90.00 90.00 90.00°
Fractional coordinates of all 5 atoms:
Tc1 0.500 0.000 0.000
Tc2 0.000 0.500 0.000
H1 0.000 0.000 0.000
Sb1 0.500 0.500 0.500
Ti1 0.000 0.000 0.500

---

10.
# Ti2TcSbH

Crystalline Ti2TcSbH at its relaxed geometry (PBE, Alexandria via LeMat-Bulk).

Calculated values
space group = P4/mmm (123)

Cell: 4.120 4.120 4.031 Å, 90.00 90.00 90.00°
Fractional coordinates of all 5 atoms:
H1 0.000 0.000 0.000
Tc1 0.000 0.000 0.500
Ti1 0.000 0.500 0.000
Ti2 0.500 0.000 0.000
Sb1 0.500 0.500 0.500

---

11.
# V2TcSbH

Crystalline V2TcSbH at its relaxed geometry (PBE, Alexandria via LeMat-Bulk).

Calculated values
space group = P4/mmm (123)

Cell: 3.931 3.931 4.111 Å, 90.00 90.00 90.00°
Fractional coordinates of all 5 atoms:
V1 0.500 0.000 0.000
V2 0.000 0.500 0.000
H1 0.000 0.000 0.000
Tc1 0.000 0.000 0.500
Sb1 0.500 0.500 0.500

---

12.
# Sb3TeH

Crystalline Sb3TeH at its relaxed geometry (PBE, Alexandria via LeMat-Bulk).

Calculated values
distance to the lowest polymorph of the same formula = 377.1 kJ/mol of formula units
space group = Pm-3m (221)

Cell: 5.826 5.826 5.826 Å, 90.00 90.00 90.00°
Site moments in Bohr magnetons follow the coordinates.
Fractional coordinates of all 5 atoms:
Sb1 0.000 0.500 0.000  -0.06
Sb2 0.500 0.000 0.000  -0.03
Sb3 0.000 0.000 0.500  -0.11
H1 0.500 0.500 0.500  0.35
Te1 0.000 0.000 0.000  -0.02

---

Number 1: E -24.9 eV/f.u.. Number 2: E -26.6 eV/f.u.. Number 3: E -21.9 eV/f.u.. Number 4: E -37.2 eV/f.u.. Number 5: E -25.9 eV/f.u.. Number 6: E -34.4 eV/f.u.. Number 7: E -26.6 eV/f.u.. Number 8: E -22.0 eV/f.u.. Number 9: E -37.0 eV/f.u.. Number 10: E -35.5 eV/f.u.. Number 11: E -36.2 eV/f.u.. Number 12: E -12.4 eV/f.u..